{
  "formula": "K2InIr",
  "functional": "GGA-PBEsol",
  "state": "optimized geometry",
  "final_energy_ev_per_atom": -3.546,
  "magnetic_moment_mub_per_cell": 0.0,
  "lattice": [[2.2646, 1.3075, 8.2675], [-2.2646, 1.3075, 8.2675], [0.0000, -2.6150, 8.2675]],
  "species": ["K", "K", "In", "Ir"],
  "frac_coords": [[0.0000, 0.0000, 0.0000], [0.1782, 0.1782, 0.1782], [0.7557, 0.7557, 0.7557], [0.4223, 0.4223, 0.4223]]
}

***

{
  "formula": "KIn2SnIr",
  "functional": "GGA-PBEsol",
  "state": "optimized geometry",
  "final_energy_ev_per_atom": -3.853,
  "magnetic_moment_mub_per_cell": 0.0,
  "lattice": [[5.0923, 0.0000, 0.0000], [0.0000, 5.0923, 0.0000], [0.0000, 0.0000, 5.7382]],
  "species": ["K", "In", "In", "Sn", "Ir"],
  "frac_coords": [[0.0000, 0.0000, 0.0000], [0.0000, 0.5000, 0.5000], [0.5000, 0.0000, 0.5000], [0.5000, 0.5000, 0.0000], [0.0000, 0.0000, 0.5000]]
}

***

{
  "formula": "La3InIr",
  "functional": "GGA-PBEsol",
  "state": "optimized geometry",
  "magnetic_moment_mub_per_cell": 0.0,
  "polymorph_energy_mev_per_atom": 0,
  "lattice": [[5.8852, 0.0000, 0.0000], [0.0000, 7.4597, 0.0000], [-2.5804, 0.0000, 6.6964]],
  "species": ["La", "La", "La", "La", "La", "La", "In", "In", "Ir", "Ir"],
  "frac_coords": [[0.1563, 0.2500, 0.1462], [0.3050, 0.0192, 0.7103], [0.3050, 0.4808, 0.7103], [0.6950, 0.5192, 0.2897], [0.6950, 0.9808, 0.2897], [0.8437, 0.7500, 0.8538], [0.2142, 0.7500, 0.3168], [0.7858, 0.2500, 0.6832], [0.3776, 0.7500, 0.9893], [0.6224, 0.2500, 0.0107]]
}

***

{
  "formula": "La2InIr",
  "functional": "GGA-PBEsol",
  "state": "optimized geometry",
  "final_energy_ev_per_atom": -6.332,
  "magnetic_moment_mub_per_cell": 0.0,
  "lattice": [[-1.8031, 2.4178, 5.9081], [1.8031, -2.4178, 5.9081], [1.8031, 2.4178, -5.9081]],
  "species": ["La", "La", "In", "Ir"],
  "frac_coords": [[0.0000, 0.0000, 0.0000], [0.6971, 0.1971, 0.5000], [0.3059, 0.8059, 0.5000], [0.4892, 0.4892, 0.0000]]
}

***

{
  "formula": "LaInIr2",
  "functional": "GGA-PBEsol",
  "state": "optimized geometry",
  "final_energy_ev_per_atom": -6.839,
  "magnetic_moment_mub_per_cell": 0.0,
  "lattice": [[0.0000, 3.3916, 3.3916], [3.3916, 0.0000, 3.3916], [3.3916, 3.3916, 0.0000]],
  "species": ["La", "In", "Ir", "Ir"],
  "frac_coords": [[0.0000, 0.0000, 0.0000], [0.2500, 0.2500, 0.2500], [0.5000, 0.5000, 0.5000], [0.7500, 0.7500, 0.7500]]
}

***

{
  "formula": "La3InIr",
  "functional": "GGA-PBEsol",
  "state": "optimized geometry",
  "magnetic_moment_mub_per_cell": 0.0,
  "polymorph_energy_mev_per_atom": 1566,
  "lattice": [[5.7313, 0.0000, 0.0000], [0.0000, 5.7313, 0.0000], [0.0000, 0.0000, 5.7313]],
  "species": ["La", "La", "La", "In", "Ir"],
  "frac_coords": [[0.0000, 0.0000, 0.5000], [0.0000, 0.5000, 0.0000], [0.5000, 0.0000, 0.0000], [0.0000, 0.0000, 0.0000], [0.5000, 0.5000, 0.5000]]
}